The following is a DFT calculation (GGA+U) of KHfInWO6 after structural relaxation.

Output
SG ... F-43m
Total moment ... 0.00 Bohr magnetons per cell
Total energy ... -7.33 eV per atom

Unit cell a=5.769 b=5.769 c=5.769 alpha=60.00 beta=60.00 gamma=60.00
Atoms (fractional coordinates):
K: 0.000 0.000 0.000
Hf: 0.250 0.250 0.250
In: 0.500 0.500 0.500
W: 0.750 0.750 0.750
O: 0.509 0.509 0.991
O: 0.509 0.991 0.509
O: 0.509 0.991 0.991
O: 0.991 0.509 0.509
O: 0.991 0.509 0.991
O: 0.991 0.991 0.509